Record 1
{
  "formula": "Ca3In2Ag",
  "functional": "PBE",
  "state": "optimized geometry",
  "polymorph_energy_mev_per_atom": 12,
  "spacegroup": "P4/mmm, No. 123",
  "lattice": [[3.8400, 0.0000, 0.0000], [0.0000, 3.8400, 0.0000], [0.0000, 0.0000, 11.2836]],
  "species": ["Ca", "Ca", "Ca", "In", "In", "Ag"],
  "frac_coords": [[0.0000, 0.0000, 0.0000], [0.0000, 0.0000, 0.3400], [0.0000, 0.0000, 0.6600], [0.5000, 0.5000, 0.1669], [0.5000, 0.5000, 0.8331], [0.5000, 0.5000, 0.5000]]
}

Record 2
{
  "formula": "Ca2InAg9",
  "functional": "PBE",
  "state": "optimized geometry",
  "spacegroup": "R-3m, No. 166",
  "lattice": [[2.8361, 1.6374, 9.2899], [-2.8361, 1.6374, 9.2899], [0.0000, -3.2748, 9.2899]],
  "species": ["Ca", "Ca", "In", "Ag", "Ag", "Ag", "Ag", "Ag", "Ag", "Ag", "Ag", "Ag"],
  "frac_coords": [[0.1359, 0.1359, 0.1359], [0.8641, 0.8641, 0.8641], [0.0000, 0.0000, 0.0000], [0.0803, 0.5863, 0.5863], [0.3333, 0.3333, 0.3333], [0.4137, 0.4137, 0.9197], [0.4137, 0.9197, 0.4137], [0.5000, 0.5000, 0.5000], [0.5863, 0.0803, 0.5863], [0.5863, 0.5863, 0.0803], [0.6667, 0.6667, 0.6667], [0.9197, 0.4137, 0.4137]]
}

Record 3
{
  "formula": "CaIn5Ag2",
  "functional": "PBE",
  "state": "optimized geometry",
  "spacegroup": "Immm, No. 71",
  "lattice": [[4.3829, 0.0000, 0.0000], [0.0000, 8.4845, 0.0000], [0.0000, 0.0000, 10.8454]],
  "species": ["Ca", "Ca", "In", "In", "In", "In", "In", "In", "In", "In", "In", "In", "Ag", "Ag", "Ag", "Ag"],
  "frac_coords": [[0.0000, 0.0000, 0.0000], [0.5000, 0.5000, 0.5000], [0.0000, 0.1925, 0.3533], [0.0000, 0.1925, 0.6467], [0.0000, 0.5000, 0.0000], [0.0000, 0.8075, 0.3533], [0.0000, 0.8075, 0.6467], [0.5000, 0.0000, 0.5000], [0.5000, 0.3075, 0.1467], [0.5000, 0.3075, 0.8533], [0.5000, 0.6925, 0.1467], [0.5000, 0.6925, 0.8533], [0.0000, 0.5000, 0.2668], [0.0000, 0.5000, 0.7332], [0.5000, 0.0000, 0.2332], [0.5000, 0.0000, 0.7668]]
}

Record 4
{
  "formula": "CaIn9Ag2",
  "functional": "PBE",
  "state": "optimized geometry",
  "spacegroup": "I4_1/amd, No. 141",
  "lattice": [[-6.1722, 6.1722, 4.1298], [6.1722, -6.1722, 4.1298], [6.1722, 6.1722, -4.1298]],
  "species": ["Ca", "Ca", "In", "In", "In", "In", "In", "In", "In", "In", "In", "In", "In", "In", "In", "In", "In", "In", "In", "In", "Ag", "Ag", "Ag", "Ag"],
  "frac_coords": [[0.3750, 0.6250, 0.7500], [0.6250, 0.3750, 0.2500], [0.1116, 0.5465, 0.3206], [0.1116, 0.7910, 0.5651], [0.1250, 0.8750, 0.2500], [0.2090, 0.2742, 0.3206], [0.2090, 0.8884, 0.9349], [0.2742, 0.2090, 0.8206], [0.2742, 0.4535, 0.0651], [0.4535, 0.2742, 0.5651], [0.4535, 0.8884, 0.1794], [0.5465, 0.1116, 0.8206], [0.5465, 0.7258, 0.4349], [0.7258, 0.5465, 0.9349], [0.7258, 0.7910, 0.1794], [0.7910, 0.1116, 0.0651], [0.7910, 0.7258, 0.6794], [0.8750, 0.1250, 0.7500], [0.8884, 0.2090, 0.4349], [0.8884, 0.4535, 0.6794], [0.0000, 0.0000, 0.0000], [0.0000, 0.0000, 0.5000], [0.0000, 0.5000, 0.0000], [0.5000, 0.0000, 0.5000]]
}

Record 5
{
  "formula": "CaInAgIr",
  "functional": "PBE",
  "state": "optimized geometry",
  "spacegroup": "F-43m, No. 216",
  "lattice": [[6.8214, 0.0000, 0.0000], [0.0000, 6.8214, 0.0000], [0.0000, 0.0000, 6.8214]],
  "species": ["Ca", "Ca", "Ca", "Ca", "In", "In", "In", "In", "Ag", "Ag", "Ag", "Ag", "Ir", "Ir", "Ir", "Ir"],
  "frac_coords": [[0.0000, 0.0000, 0.0000], [0.0000, 0.5000, 0.5000], [0.5000, 0.0000, 0.5000], [0.5000, 0.5000, 0.0000], [0.0000, 0.0000, 0.5000], [0.0000, 0.5000, 0.0000], [0.5000, 0.0000, 0.0000], [0.5000, 0.5000, 0.5000], [0.2500, 0.2500, 0.2500], [0.2500, 0.7500, 0.7500], [0.7500, 0.2500, 0.7500], [0.7500, 0.7500, 0.2500], [0.2500, 0.2500, 0.7500], [0.2500, 0.7500, 0.2500], [0.7500, 0.2500, 0.2500], [0.7500, 0.7500, 0.7500]]
}

Record 6
{
  "formula": "Ca2In6AgIr",
  "functional": "PBE",
  "state": "optimized geometry",
  "spacegroup": "Fm-3m, No. 225",
  "lattice": [[0.0000, 5.2488, 5.2488], [5.2488, 0.0000, 5.2488], [5.2488, 5.2488, 0.0000]],
  "species": ["Ca", "Ca", "In", "In", "In", "In", "In", "In", "Ag", "Ir"],
  "frac_coords": [[0.2500, 0.2500, 0.2500], [0.7500, 0.7500, 0.7500], [0.2480, 0.2480, 0.7520], [0.2480, 0.7520, 0.2480], [0.2480, 0.7520, 0.7520], [0.7520, 0.2480, 0.2480], [0.7520, 0.2480, 0.7520], [0.7520, 0.7520, 0.2480], [0.5000, 0.5000, 0.5000], [0.0000, 0.0000, 0.0000]]
}

The evaluated E_form for the records listed, in turn: -0.405, -0.106, -0.138, -0.044, -0.186, -0.012 eV/atom.
The evaluated mass density for the records listed, in turn: 4.568, 7.479, 6.834, 6.803, 9.521, 6.139 Mg/m³.